# SrLi2ZnIr

A relaxed SrLi2ZnIr crystal (PBE-GGA, the Alexandria database).

POSCAR file:
```
SrLi2ZnIr
1.0
4.7723 0.0000 0.0000
0.0000 4.7723 0.0000
0.0000 0.0000 4.9107
Sr Li Zn Ir
1 2 1 1
Direct
0.0000 0.0000 0.0000 Sr
0.0000 0.5000 0.5000 Li
0.5000 0.0000 0.5000 Li
0.5000 0.5000 0.0000 Zn
0.5000 0.5000 0.5000 Ir
```

Properties
**Energy relative to the elements**: -28.6 kJ/mol of formula units
**Spin magnetization**: 0.00 μB/cell
**Final energy**: -15.940 eV per cell